DFT (GGA-PBE) results for Tb5TmGe4 after structural relaxation.

a = 8.0428 Å, b = 8.0428 Å, c = 6.8943 Å
α = 90.38°, β = 90.38°, γ = 35.76°
Fractional coordinates of all 10 atoms:
Tb: 0.0000 0.0000 0.0000
Tb: 0.3354 0.3354 0.0053
Tb: 0.3351 0.3351 0.4940
Tb: 0.6649 0.6649 0.5060
Tb: 0.6646 0.6646 0.9947
Tm: 0.0000 0.0000 0.5000
Ge: 0.1779 0.1779 0.7490
Ge: 0.4903 0.4903 0.7464
Ge: 0.5097 0.5097 0.2536
Ge: 0.8221 0.8221 0.2510

Values from the calculation:
Spin magnetization in μB per formula unit: 0.000
VASP energy in eV per cell: -52.433
Calculated formation energy in eV per atom: -0.634